# 1
Material: TaP2Se
Method: DFT, PBE
State: optimized geometry

Results
E_form (uncorrected) ... -0.236 eV per atom
M_tot ... 0.000 μB per cell
Calculated volume ... 164.5 Å³ per cell
E_tot ... -6.78 eV per atom

a b c (Å): 8.4752 3.5295 5.5118
angles (deg): 90.00 93.77 90.00
With the nearest neighbours (Å) after each atom.
Space group Cm (No. 8)
Inequivalent atoms, fractional coordinates:
Ta1 0.0000 0.0000 0.0000 x2  5 P 2.50-2.53, 2 Se 2.73
P1 0.0108 0.5000 0.3210 x2  1 P 2.24, 2 Ta 2.50
P2 0.2078 0.5000 0.0702 x2  1 P 2.24
Se1 0.3464 0.0000 0.6884 x2  1 P 2.53, 2 Ta 2.73

=====

# 2
Material: Ta2PSe
Method: DFT, PBE
State: optimized geometry

Results
E_form (uncorrected) ... -0.342 eV per atom
M_tot ... 0.000 μB per cell
Calculated volume ... 68.1 Å³ per cell
E_tot ... -8.49 eV per atom
Energy above the lowest structure with this stoichiometry ... 193 meV/atom

a b c (Å): 3.2662 4.8339 4.3133
angles (deg): 90.00 90.00 90.00
With the nearest neighbours (Å) after each atom.
Space group Pmm2 (No. 25)
Inequivalent atoms, fractional coordinates:
Ta1 0.0000 0.0000 0.0000 x1  4 P 2.57-2.84, 2 Se 2.60
Ta2 0.5000 0.5000 0.2656 x1  2 P 2.56, 4 Se 2.66-2.75
P1 0.5000 0.0000 0.4608 x1  6 Ta 2.56-2.84
Se1 0.0000 0.5000 0.7799 x1  6 Ta 2.60-2.75